No. 1
Here is a relaxed structure of CrHg3Se from Alexandria via LeMat-Bulk. Energies are from PBE.

Its density of states at the Fermi level is 0.44 states/eV/atom. The total magnetization comes out at 1.07 μB/atom. Its energy relative to the elements, uncorrected is 759 meV per atom. For the distance to the lowest polymorph of the same formula, the calculation gives 0.95 eV per formula unit.

The space group is Pm-3m (No. 221) and the conventional cell measures 5.515, 5.515 and 5.515 Å, with angles of 90.00, 90.00 and 90.00 degrees. The asymmetric unit holds Cr at (0.000, 0.000, 0.000), Hg at (0.000, 0.500, 0.500) and Se at (0.500, 0.500, 0.500).

***

No. 2
Here is a relaxed structure of MgIn2Si from Alexandria via LeMat-Bulk. Energies are from PBE.

Its density of states at the Fermi level is 0.43 states/eV/atom. The total magnetization comes out at 0.00 μB/atom. Its energy relative to the elements, uncorrected is 166 meV per atom. For the distance to the lowest polymorph of the same formula, the calculation gives 0.20 eV per formula unit.

The space group is Imm2 (No. 44) and the conventional cell measures 3.221, 5.020 and 11.388 Å, with angles of 90.00, 90.00 and 90.00 degrees. The asymmetric unit holds Mg at (0.000, 0.000, 0.000), In at (0.000, 0.000, 0.421), In at (0.000, 0.500, 0.221) and Si at (0.000, 0.500, 0.702).

***

No. 3
Here is a relaxed structure of Ce3Te2Br from Alexandria via LeMat-Bulk. Energies are from PBE.

Its density of states at the Fermi level is 3.45 states/eV/atom. The total magnetization comes out at 0.55 μB/atom. Its energy relative to the elements, uncorrected is -1257 meV per atom.

The space group is C2/m (No. 12) and the conventional cell measures 7.820, 13.107 and 7.466 Å, with angles of 90.00, 109.15 and 90.00 degrees. The asymmetric unit holds Ce at (0.239, 0.000, 0.236), Ce at (0.249, 0.170, 0.758), Te at (0.000, 0.000, 0.500), Te at (0.000, 0.338, 0.500), Te at (0.000, 0.500, 0.000) and Br at (0.000, 0.168, 0.000).

***

No. 4
Here is a relaxed structure of PmSc2Be from Alexandria via LeMat-Bulk. Energies are from PBE.

Its density of states at the Fermi level is 0.94 states/eV/atom. The total magnetization comes out at 0.00 μB/atom. The energy relative to the elements comes out at 0.03 eV per atom. For the distance to the lowest polymorph of the same formula, the calculation gives 0.00 eV per formula unit.

The space group is P4/mmm (No. 123) and the conventional cell measures 3.257, 3.257 and 8.448 Å, with angles of 90.00, 90.00 and 90.00 degrees. The asymmetric unit holds Pm at (0.000, 0.000, 0.000), Sc at (0.500, 0.500, 0.318) and Be at (0.000, 0.000, 0.500).